# Pr4TeBr5

Pr4TeBr5 after structural relaxation (GGA-PBE, the Alexandria database).

CIF file:
```
data_Pr4TeBr5
_space_group_name_H-M_alt 'P m m n'
_space_group_IT_number 59
_cell_length_a 9.444
_cell_length_b 10.225
_cell_length_c 7.160
_cell_angle_alpha 90.00
_cell_angle_beta 90.00
_cell_angle_gamma 90.00
loop_
_space_group_symop_operation_xyz
'x,y,z'
'-x,-y,-z'
'-x+1/2,-y+1/2,z'
'x+1/2,y+1/2,-z'
'x+1/2,-y,-z'
'-x+1/2,y,z'
'-x,y+1/2,-z'
'x,-y+1/2,z'
loop_
_atom_site_label
_atom_site_type_symbol
_atom_site_fract_x
_atom_site_fract_y
_atom_site_fract_z
Pr1 Pr 0.067 0.250 0.008
Pr2 Pr 0.250 0.022 0.628
Te1 Te 0.250 0.750 0.819
Br1 Br 0.051 0.547 0.254
Br2 Br 0.250 0.250 0.357
```

## Properties
Formation energy from raw total energies: -1395 meV/atom

# PrTeBr

PrTeBr after structural relaxation (GGA-PBE, the Alexandria database).

CIF file:
```
data_PrTeBr
_space_group_name_H-M_alt 'R -3'
_space_group_IT_number 148
_space_group_name_Hall '-R 3'
_cell_length_a 17.9361
_cell_length_b 17.9361
_cell_length_c 8.2674
_cell_angle_alpha 90.00
_cell_angle_beta 90.00
_cell_angle_gamma 120.00
loop_
_atom_site_label
_atom_site_type_symbol
_atom_site_fract_x
_atom_site_fract_y
_atom_site_fract_z
Pr1 Pr 0.0278 0.5845 0.2362
Te1 Te 0.0351 0.4281 0.4004
Br1 Br 0.0695 0.2085 0.3117
```

## Properties
Formation energy from raw total energies: -1571 meV/atom
Polymorph energy (0 for the lowest one): 57 meV/atom

# Pr2Te3Br

Pr2Te3Br after structural relaxation (GGA-PBE, the Alexandria database).

CIF file:
```
data_Pr2Te3Br
_space_group_name_H-M_alt 'R -3 c'
_space_group_IT_number 167
_space_group_name_Hall '-R 3 2"c'
_cell_length_a 8.5582
_cell_length_b 8.5582
_cell_length_c 20.4341
_cell_angle_alpha 90.00
_cell_angle_beta 90.00
_cell_angle_gamma 120.00
loop_
_atom_site_label
_atom_site_type_symbol
_atom_site_fract_x
_atom_site_fract_y
_atom_site_fract_z
Pr1 Pr 0.0000 0.0000 0.1426
Te1 Te 0.0000 0.2793 0.2500
Br1 Br 0.0000 0.0000 0.0000
```

## Properties
Formation energy from raw total energies: -1184 meV/atom

# PrTeBr

PrTeBr after structural relaxation (GGA-PBE, the Alexandria database).

CIF file:
```
data_PrTeBr
_space_group_name_H-M_alt 'P -1'
_space_group_IT_number 2
_cell_length_a 4.165
_cell_length_b 4.638
_cell_length_c 11.877
_cell_angle_alpha 89.55
_cell_angle_beta 89.54
_cell_angle_gamma 90.00
loop_
_space_group_symop_operation_xyz
'x,y,z'
'-x,-y,-z'
loop_
_atom_site_label
_atom_site_type_symbol
_atom_site_fract_x
_atom_site_fract_y
_atom_site_fract_z
Pr1 Pr 0.246 0.246 0.182
Te1 Te 0.252 0.252 0.902
Br1 Br 0.258 0.758 0.641
```

## Properties
Formation energy from raw total energies: -1628 meV/atom
Polymorph energy (0 for the lowest one): 0 meV/atom

# Pr3Te2Br2

Pr3Te2Br2 after structural relaxation (GGA-PBE, the Alexandria database).

CIF file:
```
data_Pr3Te2Br2
_space_group_name_H-M_alt 'P -1'
_space_group_IT_number 2
_cell_length_a 4.373
_cell_length_b 7.399
_cell_length_c 7.539
_cell_angle_alpha 81.23
_cell_angle_beta 73.21
_cell_angle_gamma 89.97
loop_
_space_group_symop_operation_xyz
'x,y,z'
'-x,-y,-z'
loop_
_atom_site_label
_atom_site_type_symbol
_atom_site_fract_x
_atom_site_fract_y
_atom_site_fract_z
Pr1 Pr 0.000 0.000 0.000
Pr2 Pr 0.258 0.766 0.483
Te1 Te 0.119 0.390 0.763
Br1 Br 0.385 0.152 0.230
```

## Properties
Formation energy from raw total energies: -1364 meV/atom

# Pr2Te2Br

Pr2Te2Br after structural relaxation (GGA-PBE, the Alexandria database).

CIF file:
```
data_Pr2Te2Br
_space_group_name_H-M_alt 'I m m m'
_space_group_IT_number 71
_space_group_name_Hall '-I 2 2'
_cell_length_a 4.403
_cell_length_b 6.286
_cell_length_c 13.118
_cell_angle_alpha 90.00
_cell_angle_beta 90.00
_cell_angle_gamma 90.00
loop_
_atom_site_label
_atom_site_type_symbol
_atom_site_fract_x
_atom_site_fract_y
_atom_site_fract_z
Pr1 Pr 0.000 0.000 0.173
Te1 Te 0.000 0.500 0.155
Br1 Br 0.000 0.500 0.500
```

## Properties
Formation energy from raw total energies: -1473 meV/atom
Polymorph energy (0 for the lowest one): 109 meV/atom

# Pr2TeBr3

Pr2TeBr3 after structural relaxation (GGA-PBE, the Alexandria database).

CIF file:
```
data_Pr2TeBr3
_space_group_name_H-M_alt 'C 1 2/m 1'
_space_group_IT_number 12
_cell_length_a 18.231
_cell_length_b 4.436
_cell_length_c 13.717
_cell_angle_alpha 90.00
_cell_angle_beta 126.35
_cell_angle_gamma 90.00
loop_
_space_group_symop_operation_xyz
'x,y,z'
'-x,-y,-z'
'-x,y,-z'
'x,-y,z'
'x+1/2,y+1/2,z'
'-x+1/2,-y+1/2,-z'
'-x+1/2,y+1/2,-z'
'x+1/2,-y+1/2,z'
loop_
_atom_site_label
_atom_site_type_symbol
_atom_site_fract_x
_atom_site_fract_y
_atom_site_fract_z
Pr1 Pr 0.108 0.000 0.446
Pr2 Pr 0.153 0.500 0.872
Te1 Te 0.103 0.000 0.675
Br1 Br 0.055 0.500 0.262
Br2 Br 0.147 0.000 0.021
Br3 Br 0.241 0.500 0.603
```

## Properties
Formation energy from raw total energies: -1628 meV/atom

# Pr2TeBr

Pr2TeBr after structural relaxation (GGA-PBE, the Alexandria database).

CIF file:
```
data_Pr2TeBr
_space_group_name_H-M_alt 'R -3 m'
_space_group_IT_number 166
_space_group_name_Hall '-R 3 2"'
_cell_length_a 4.5452
_cell_length_b 4.5452
_cell_length_c 20.5586
_cell_angle_alpha 90.00
_cell_angle_beta 90.00
_cell_angle_gamma 120.00
loop_
_atom_site_label
_atom_site_type_symbol
_atom_site_fract_x
_atom_site_fract_y
_atom_site_fract_z
Pr1 Pr 0.0000 0.0000 0.2477
Te1 Te 0.0000 0.0000 0.0000
Br1 Br 0.0000 0.0000 0.5000
```

## Properties
Formation energy from raw total energies: -1232 meV/atom
Polymorph energy (0 for the lowest one): 29 meV/atom

# Pr4TlTe2Br

Pr4TlTe2Br after structural relaxation (GGA-PBE, the Alexandria database).

CIF file:
```
data_Pr4TlTe2Br
_space_group_name_H-M_alt 'P 1 2/m 1'
_space_group_IT_number 10
_cell_length_a 7.750
_cell_length_b 4.533
_cell_length_c 7.821
_cell_angle_alpha 90.00
_cell_angle_beta 109.43
_cell_angle_gamma 90.00
loop_
_space_group_symop_operation_xyz
'x,y,z'
'-x,-y,-z'
'-x,y,-z'
'x,-y,z'
loop_
_atom_site_label
_atom_site_type_symbol
_atom_site_fract_x
_atom_site_fract_y
_atom_site_fract_z
Pr1 Pr 0.240 0.000 0.248
Pr2 Pr 0.246 0.500 0.746
Tl1 Tl 0.000 0.000 0.500
Te1 Te 0.000 0.500 0.000
Te2 Te 0.500 0.000 0.000
Br1 Br 0.500 0.500 0.500
```

## Properties
Formation energy from raw total energies: -1113 meV/atom

# PrYTe2Br

PrYTe2Br after structural relaxation (GGA-PBE, the Alexandria database).

CIF file:
```
data_PrYTe2Br
_space_group_name_H-M_alt 'P 4/n m m'
_space_group_IT_number 129
_cell_length_a 4.465
_cell_length_b 4.465
_cell_length_c 15.135
_cell_angle_alpha 90.00
_cell_angle_beta 90.00
_cell_angle_gamma 90.00
loop_
_space_group_symop_operation_xyz
'x,y,z'
'-x,-y,-z'
'-y+1/2,x,z'
'y+1/2,-x,-z'
'-x+1/2,-y+1/2,z'
'x+1/2,y+1/2,-z'
'y,-x+1/2,z'
'-y,x+1/2,-z'
'x+1/2,-y,-z'
'-x+1/2,y,z'
'-y,-x,-z'
'y,x,z'
'-x,y+1/2,-z'
'x,-y+1/2,z'
'y+1/2,x+1/2,-z'
'-y+1/2,-x+1/2,z'
loop_
_atom_site_label
_atom_site_type_symbol
_atom_site_fract_x
_atom_site_fract_y
_atom_site_fract_z
Pr1 Pr 0.250 0.250 0.144
Y1 Y 0.250 0.250 0.585
Te1 Te 0.250 0.250 0.380
Te2 Te 0.250 0.250 0.791
Br1 Br 0.250 0.750 0.000
```

## Properties
Formation energy from raw total energies: -1459 meV/atom

# PrThBr5

PrThBr5 after structural relaxation (GGA-PBE, the Alexandria database).

CIF file:
```
data_PrThBr5
_space_group_name_H-M_alt 'P 1 21/m 1'
_space_group_IT_number 11
_cell_length_a 8.682
_cell_length_b 3.984
_cell_length_c 13.911
_cell_angle_alpha 90.00
_cell_angle_beta 93.36
_cell_angle_gamma 90.00
loop_
_space_group_symop_operation_xyz
'x,y,z'
'-x,-y,-z'
'-x,y+1/2,-z'
'x,-y+1/2,z'
loop_
_atom_site_label
_atom_site_type_symbol
_atom_site_fract_x
_atom_site_fract_y
_atom_site_fract_z
Pr1 Pr 0.077 0.250 0.159
Th1 Th 0.394 0.750 0.353
Br1 Br 0.144 0.250 0.377
Br2 Br 0.149 0.250 0.781
Br3 Br 0.182 0.750 0.014
Br4 Br 0.359 0.750 0.574
Br5 Br 0.431 0.250 0.196
```

## Properties
Formation energy from raw total energies: -1627 meV/atom

# Pr2TiBr

Pr2TiBr after structural relaxation (GGA-PBE, the Alexandria database).

CIF file:
```
data_Pr2TiBr
_space_group_name_H-M_alt 'R -3 m'
_space_group_IT_number 166
_space_group_name_Hall '-R 3 2"'
_cell_length_a 3.4595
_cell_length_b 3.4595
_cell_length_c 33.0326
_cell_angle_alpha 90.00
_cell_angle_beta 90.00
_cell_angle_gamma 120.00
loop_
_atom_site_label
_atom_site_type_symbol
_atom_site_fract_x
_atom_site_fract_y
_atom_site_fract_z
Pr1 Pr 0.0000 0.0000 0.0914
Ti1 Ti 0.0000 0.0000 0.0000
Br1 Br 0.0000 0.0000 0.5000
```

## Properties
Formation energy from raw total energies: -72 meV/atom

Which of these has the highest formation energy from raw total energies? Pr2TiBr

Look up the formation energy from raw total energies of the seventh one. -1628 meV/atom